VASP calculation (PBE-GGA) on CrNiN2 after structural relaxation.

Calculated values
ΔE to the lowest computed polymorph = 0.000 eV per atom
Uncorrected formation energy = -0.1867 eV/atom
Calculated volume = 10.14 Å³/atom

Cell lengths 5.307, 5.307, 5.307 Å; angles 131.89, 131.89, 70.40 degrees
Element x y z (fractional)
Cr 0.000 0.000 0.000
Cr 0.750 0.250 0.500
Ni 0.250 0.750 0.500
Ni 0.500 0.500 0.000
N 0.101 0.625 0.976
N 0.375 0.351 0.476
N 0.649 0.125 0.024
N 0.875 0.899 0.524

***

VASP calculation (PBE-GGA) on Cr3Ni2N after structural relaxation.

Calculated values
Uncorrected formation energy = -0.2513 eV/atom
Calculated volume = 10.14 Å³/atom

Cell lengths 6.243, 6.243, 6.243 Å; angles 90.00, 90.00, 90.00 degrees
Element x y z (fractional)
Cr 0.048 0.125 0.798
Cr 0.125 0.798 0.048
Cr 0.202 0.548 0.375
Cr 0.298 0.452 0.875
Cr 0.375 0.202 0.548
Cr 0.452 0.875 0.298
Cr 0.548 0.375 0.202
Cr 0.625 0.702 0.952
Cr 0.702 0.952 0.625
Cr 0.798 0.048 0.125
Cr 0.875 0.298 0.452
Cr 0.952 0.625 0.702
Ni 0.065 0.935 0.435
Ni 0.185 0.185 0.185
Ni 0.315 0.815 0.685
Ni 0.435 0.065 0.935
Ni 0.565 0.565 0.565
Ni 0.685 0.315 0.815
Ni 0.815 0.685 0.315
Ni 0.935 0.435 0.065
N 0.125 0.375 0.625
N 0.375 0.625 0.125
N 0.625 0.125 0.375
N 0.875 0.875 0.875

***

VASP calculation (PBE-GGA) on CrNiN2 after structural relaxation.

Calculated values
ΔE to the lowest computed polymorph = 0.891 eV per atom
Uncorrected formation energy = 0.7038 eV/atom
Calculated volume = 8.03 Å³/atom

Cell lengths 3.568, 3.568, 3.568 Å; angles 60.00, 60.00, 60.00 degrees
Element x y z (fractional)
Cr 0.000 0.000 0.000
Ni 0.500 0.500 0.500
N 0.250 0.250 0.250
N 0.750 0.750 0.750

***

VASP calculation (PBE-GGA) on CrNi2N3 after structural relaxation.

Calculated values
Uncorrected formation energy = 0.0139 eV/atom
Calculated volume = 9.81 Å³/atom

Cell lengths 5.040, 5.040, 5.317 Å; angles 90.00, 90.00, 60.67 degrees
Element x y z (fractional)
Cr 0.164 0.836 0.500
Cr 0.836 0.164 0.000
Ni 0.169 0.536 0.071
Ni 0.464 0.831 0.071
Ni 0.536 0.169 0.571
Ni 0.831 0.464 0.571
N 0.162 0.838 0.848
N 0.170 0.488 0.427
N 0.488 0.170 0.927
N 0.512 0.830 0.427
N 0.830 0.512 0.927
N 0.838 0.162 0.348